(1)
La6PrAu3 | GGA-PBE | relaxed

Output
Total moment in μB per atom: 0.00
DFT total energy in eV for the cell shown: -194.21

```
data_La6PrAu3
_cell_length_a 12.641
_cell_length_b 13.851
_cell_length_c 7.557
_cell_angle_alpha 90.00
_cell_angle_beta 90.00
_cell_angle_gamma 90.00
_space_group_name_H-M_alt 'C m c 21'
_space_group_IT_number 36
_space_group_name_Hall 'C 2c -2'
loop_
_atom_site_label
_atom_site_type_symbol
_atom_site_fract_x
_atom_site_fract_y
_atom_site_fract_z
_atom_site_occupancy
La1 La 0.000 0.043 0.000 1
La2 La 0.000 0.243 0.621 1
La3 La 0.177 0.457 0.497 1
La4 La 0.229 0.202 0.340 1
Pr1 Pr 0.000 0.326 0.122 1
Au1 Au 0.000 0.446 0.782 1
Au2 Au 0.171 0.090 0.700 1
```

---

(2)
La4PrAu5 | GGA-PBE | relaxed

Output
Total moment in μB per atom: 0.00
DFT total energy in eV for the cell shown: -48.62

```
data_La4PrAu5
_cell_length_a 3.752
_cell_length_b 3.752
_cell_length_c 19.077
_cell_angle_alpha 90.00
_cell_angle_beta 90.00
_cell_angle_gamma 90.00
_space_group_name_H-M_alt 'P 4/m m m'
_space_group_IT_number 123
_space_group_name_Hall '-P 4 2'
loop_
_atom_site_label
_atom_site_type_symbol
_atom_site_fract_x
_atom_site_fract_y
_atom_site_fract_z
_atom_site_occupancy
La1 La 0.000 0.000 0.100 1
La2 La 0.000 0.000 0.301 1
Pr1 Pr 0.000 0.000 0.500 1
Au1 Au 0.500 0.500 0.000 1
Au2 Au 0.500 0.500 0.201 1
Au3 Au 0.500 0.500 0.402 1
```

---

(3)
LaPrAu | GGA-PBE | relaxed

Output
Total moment in μB per atom: 0.00
Relative energy among the computed polymorphs in eV per formula unit: 0.09

```
data_LaPrAu
_cell_length_a 7.009
_cell_length_b 7.610
_cell_length_c 7.393
_cell_angle_alpha 90.00
_cell_angle_beta 90.50
_cell_angle_gamma 90.00
_space_group_name_H-M_alt 'P 1 21/c 1'
_space_group_IT_number 14
_space_group_name_Hall '-P 2ybc'
loop_
_atom_site_label
_atom_site_type_symbol
_atom_site_fract_x
_atom_site_fract_y
_atom_site_fract_z
_atom_site_occupancy
La1 La 0.071 0.249 0.000 1
Pr1 Pr 0.395 0.591 0.249 1
Au1 Au 0.206 0.546 0.754 1
```

---

(4)
LaPr2Au6 | GGA-PBE | relaxed

Output
Total moment in μB per atom: 0.00
DFT total energy in eV for the cell shown: -41.10

```
data_LaPr2Au6
_cell_length_a 8.2800
_cell_length_b 8.2800
_cell_length_c 3.6768
_cell_angle_alpha 90.00
_cell_angle_beta 90.00
_cell_angle_gamma 120.00
_space_group_name_H-M_alt 'P 6/m m m'
_space_group_IT_number 191
_space_group_name_Hall '-P 6 2'
loop_
_atom_site_label
_atom_site_type_symbol
_atom_site_fract_x
_atom_site_fract_y
_atom_site_fract_z
_atom_site_occupancy
La1 La 0.0000 0.0000 0.0000 1
Pr1 Pr 0.3333 0.6667 0.0000 1
Au1 Au 0.0000 0.3336 0.5000 1
```

---

(5)
La4Pr3Au4 | GGA-PBE | relaxed

Output
Total moment in μB per atom: 0.00
DFT total energy in eV for the cell shown: -105.58

```
data_La4Pr3Au4
_cell_length_a 5.110
_cell_length_b 7.804
_cell_length_c 16.614
_cell_angle_alpha 90.00
_cell_angle_beta 90.00
_cell_angle_gamma 90.00
_space_group_name_H-M_alt 'I m m m'
_space_group_IT_number 71
_space_group_name_Hall '-I 2 2'
loop_
_atom_site_label
_atom_site_type_symbol
_atom_site_fract_x
_atom_site_fract_y
_atom_site_fract_z
_atom_site_occupancy
La1 La 0.000 0.222 0.171 1
Pr1 Pr 0.000 0.000 0.403 1
Pr2 Pr 0.000 0.500 0.500 1
Au1 Au 0.000 0.312 0.000 1
Au2 Au 0.000 0.500 0.306 1
```

---

(6)
La5PrAu4 | GGA-PBE | relaxed

Output
Total moment in μB per atom: 0.00
DFT total energy in eV for the cell shown: -48.72

```
data_La5PrAu4
_cell_length_a 3.784
_cell_length_b 3.784
_cell_length_c 20.238
_cell_angle_alpha 90.00
_cell_angle_beta 90.00
_cell_angle_gamma 90.00
_space_group_name_H-M_alt 'P 4/m m m'
_space_group_IT_number 123
_space_group_name_Hall '-P 4 2'
loop_
_atom_site_label
_atom_site_type_symbol
_atom_site_fract_x
_atom_site_fract_y
_atom_site_fract_z
_atom_site_occupancy
La1 La 0.000 0.000 0.000 1
La2 La 0.000 0.000 0.188 1
La3 La 0.000 0.000 0.372 1
Pr1 Pr 0.500 0.500 0.500 1
Au1 Au 0.500 0.500 0.094 1
Au2 Au 0.500 0.500 0.282 1
```

---

- total moment of number 6 (La5PrAu4)?
  0.00 μB per atom

---

Please write out number 5 again, unchanged.
La4Pr3Au4 | GGA-PBE | relaxed

Output
Total moment in μB per atom: 0.00
DFT total energy in eV for the cell shown: -105.58

```
data_La4Pr3Au4
_cell_length_a 5.110
_cell_length_b 7.804
_cell_length_c 16.614
_cell_angle_alpha 90.00
_cell_angle_beta 90.00
_cell_angle_gamma 90.00
_space_group_name_H-M_alt 'I m m m'
_space_group_IT_number 71
_space_group_name_Hall '-I 2 2'
loop_
_atom_site_label
_atom_site_type_symbol
_atom_site_fract_x
_atom_site_fract_y
_atom_site_fract_z
_atom_site_occupancy
La1 La 0.000 0.222 0.171 1
Pr1 Pr 0.000 0.000 0.403 1
Pr2 Pr 0.000 0.500 0.500 1
Au1 Au 0.000 0.312 0.000 1
Au2 Au 0.000 0.500 0.306 1
```